VASP calculation (PBE) on YBiI2N after structural relaxation.

- energy above the most stable polymorph in this dataset (kJ/mol of atoms) = 52.35
- spin magnetization (μB per cell) = 0.36

Unit cell a=6.4113 b=6.4113 c=4.1654 alpha=90.00 beta=90.00 gamma=90.00
With the nearest neighbours (Å) after each atom.
Space group P4/mmm (No. 123)
One atom of each set of equivalent atoms:
Y 0.0000 0.0000 0.0000 [1 per cell]  8 I 3.82, 2 Y 4.17
Bi 0.5000 0.5000 0.5000 [1 per cell]  2 N 2.08
I 0.0000 0.5000 0.5000 [2 per cell]  2 Bi 3.21
N 0.5000 0.5000 0.0000 [1 per cell]  2 Bi 2.08